[1]
Computed, not measured: a relaxed structure of LiFeTe2 at the PBE level of DFT.

## Properties
ΔE_f (raw) = 447.9 meV/atom
Calculated volume = 90.7 Å³/cell
Energy = -14.868 eV/cell
Space-group type = F-43m

Lattice parameters (Å, degrees): 5.0436 5.0436 5.0436 60.00 60.00 60.00
With the nearest neighbours (Å) after each atom.
Element x y z (fractional)
Te: 0.7500 0.7500 0.7500  4 Fe 3.09, 4 Te 3.09
Te: 0.0000 0.0000 0.0000  4 Li 3.09, 4 Te 3.09
Li: 0.2500 0.2500 0.2500  4 Fe 3.09, 4 Te 3.09
Fe: 0.5000 0.5000 0.5000  4 Te 3.09, 4 Li 3.09

---

[2]
Computed, not measured: a relaxed structure of LiHo2GeO5 at the PBE level of DFT.

## Properties
ΔE_f (raw) = -2351.4 meV/atom
Calculated volume = 239.7 Å³/cell
Energy = -123.281 eV/cell
Space-group type = P4/mbm

Lattice parameters (Å, degrees): 5.7273 6.4690 6.4690 90.00 90.00 90.00
With the nearest neighbours (Å) after each atom.
Element x y z (fractional)
O: 0.7511 0.3605 0.1395  1 Ge 1.91
O: 0.2489 0.3605 0.1395  1 Ge 1.91
O: 0.7511 0.1395 0.6395  1 Ge 1.91
O: 0.2489 0.1395 0.6395  1 Ge 1.91
O: 0.5000 0.5000 0.5000  4 Ho 2.38
O: 0.5000 0.0000 0.0000  4 Ho 2.38
O: 0.2489 0.6395 0.8605  1 Ge 1.91
O: 0.2489 0.8605 0.3605  1 Ge 1.91
O: 0.7511 0.6395 0.8605  1 Ge 1.91
O: 0.7511 0.8605 0.3605  1 Ge 1.91
Ge: 0.0000 0.0000 0.5000  4 O 1.91
Ge: 0.0000 0.5000 0.0000  4 O 1.91
Ho: 0.5000 0.8230 0.6770  4 O 2.21-2.38
Ho: 0.5000 0.1770 0.3230  4 O 2.21-2.38
Ho: 0.5000 0.3230 0.8230  4 O 2.21-2.38
Ho: 0.5000 0.6770 0.1770  4 O 2.21-2.38
Li: 0.0000 0.0000 0.0000  10 O 2.86-2.88
Li: 0.0000 0.5000 0.5000  10 O 2.86-2.88

---

[3]
Computed, not measured: a relaxed structure of LiThCu10 at the PBE level of DFT.

## Properties
Calculated volume = 177.0 Å³/cell
Formation energy from the elements = -6.3 kJ/mol of atoms
Energy = -51.078 eV/cell
Space-group type = Pmmm

Lattice parameters (Å, degrees): 4.1232 5.0047 8.5770 90.00 90.00 90.00
With the nearest neighbours (Å) after each atom.
Element x y z (fractional)
Cu: 0.5000 0.2481 0.2511  8 Cu 2.47-2.54
Cu: 0.5000 0.7519 0.7489  8 Cu 2.47-2.54
Cu: 0.0000 0.5000 0.8123  6 Cu 2.48-2.62, 1 Li 2.68
Cu: 0.5000 0.5000 0.0000  8 Cu 2.50-2.62
Cu: 0.5000 0.0000 0.5000  8 Cu 2.45-2.47
Cu: 0.5000 0.2481 0.7489  8 Cu 2.47-2.54
Cu: 0.5000 0.7519 0.2511  8 Cu 2.47-2.54
Cu: 0.0000 0.0000 0.3451  7 Cu 2.45-2.66
Cu: 0.0000 0.0000 0.6549  7 Cu 2.45-2.66
Cu: 0.0000 0.5000 0.1877  6 Cu 2.48-2.62, 1 Li 2.68
Li: 0.0000 0.5000 0.5000  6 Cu 2.68-2.83
Th: 0.0000 0.0000 0.0000  18 Cu 2.96-3.24

---

[4]
Computed, not measured: a relaxed structure of Sr3Te2S at the PBE level of DFT.

## Properties
ΔE_f (raw) = -1824.1 meV/atom
Calculated volume = 208.6 Å³/cell
Energy = -26.401 eV/cell
Space-group type = I4/mmm

Lattice parameters (Å, degrees): 4.6294 4.6294 10.2697 103.03 103.03 90.00
With the nearest neighbours (Å) after each atom.
Element x y z (fractional)
Te: 0.7666 0.7679 0.5385  6 Sr 3.27-3.43
Te: 0.1020 0.1033 0.2094  6 Sr 3.27-3.43
Sr: 0.9341 0.9359 0.8740  2 Te 3.27, 4 S 3.27
Sr: 0.5903 0.5916 0.1860  1 S 3.04, 4 Te 3.28
Sr: 0.2782 0.2796 0.5619  1 S 3.04, 4 Te 3.28
S: 0.4341 0.4358 0.8740  6 Sr 3.04-3.27

---

[5]
Computed, not measured: a relaxed structure of La2Tb3Pr3 at the PBE level of DFT.

## Properties
Relative energy among the computed polymorphs = 0 meV per atom
Calculated volume = 278.5 Å³/cell
Formation energy from the elements = 1.7 kJ/mol of atoms
Energy = -37.941 eV/cell
Space-group type = Immm

Lattice parameters (Å, degrees): 5.1762 5.1960 10.9862 103.68 103.63 90.00
With the nearest neighbours (Å) after each atom.
Element x y z (fractional)
La: 0.2500 0.7500 0.5000  4 La 3.67, 4 Tb 3.69, 4 Pr 3.69-3.70
La: 0.7500 0.2500 0.5000  4 La 3.67, 4 Tb 3.69, 4 Pr 3.69-3.70
Tb: 0.1232 0.1232 0.2463  6 Pr 3.63-3.67, 2 Tb 3.64, 4 La 3.69
Tb: 0.8768 0.8768 0.7537  6 Pr 3.63-3.67, 2 Tb 3.64, 4 La 3.69
Tb: 0.0000 0.5000 0.0000  8 Pr 3.63-3.67, 4 Tb 3.64
Pr: 0.6229 0.6229 0.2457  6 Tb 3.63-3.67, 2 Pr 3.64, 4 La 3.69-3.70
Pr: 0.3771 0.3771 0.7543  6 Tb 3.63-3.67, 2 Pr 3.64, 4 La 3.69-3.70
Pr: 0.5000 0.0000 0.0000  8 Tb 3.63-3.67, 4 Pr 3.64

---

[6]
Computed, not measured: a relaxed structure of GaBiAs2Se at the PBE level of DFT.

## Properties
Relative energy among the computed polymorphs = 0 meV per atom
ΔE_f (raw) = 410.0 meV/atom
Calculated volume = 122.4 Å³/cell
Energy = -17.641 eV/cell
Space-group type = P4/mmm

Lattice parameters (Å, degrees): 4.9717 4.9717 4.9526 90.00 90.00 90.00
With the nearest neighbours (Å) after each atom.
Element x y z (fractional)
Bi: 0.5000 0.5000 0.5000  8 As 3.51, 4 Se 3.52
As: 0.0000 0.5000 0.0000  2 Ga 2.49
As: 0.5000 0.0000 0.0000  2 Ga 2.49
Se: 0.0000 0.0000 0.5000  2 Ga 2.48
Ga: 0.0000 0.0000 0.0000  2 Se 2.48, 4 As 2.49

---

[7]
Computed, not measured: a relaxed structure of ThCuRe at the PBE level of DFT.

## Properties
Calculated volume = 127.9 Å³/cell
Formation energy from the elements = 23.3 kJ/mol of atoms
Energy = -46.480 eV/cell
Space-group type = Cmcm

Lattice parameters (Å, degrees): 3.9506 3.3310 9.8638 80.28 90.00 90.00
With the nearest neighbours (Å) after each atom.
Element x y z (fractional)
Re: 0.7500 0.7530 0.4939  4 Re 2.59
Re: 0.2500 0.2470 0.5061  4 Re 2.59
Cu: 0.7500 0.4640 0.0720  2 Cu 2.42
Cu: 0.2500 0.5360 0.9280  2 Cu 2.42
Th: 0.2500 0.8853 0.2293  4 Cu 3.00, 4 Re 3.16-3.24, 2 Th 3.33
Th: 0.7500 0.1147 0.7707  4 Cu 3.00, 4 Re 3.16-3.24, 2 Th 3.33

---

[8]
Computed, not measured: a relaxed structure of MgZrN2O at the PBE level of DFT.

## Properties
ΔE_f (raw) = -483.9 meV/atom
Calculated volume = 73.4 Å³/cell
Energy = -34.171 eV/cell
Space-group type = P4/mmm

Lattice parameters (Å, degrees): 4.2143 4.2143 4.1352 90.00 90.00 90.00
With the nearest neighbours (Å) after each atom.
Element x y z (fractional)
Zr: 0.0000 0.0000 0.0000  2 O 2.07, 4 N 2.11
N: 0.5000 0.0000 0.0000  2 Zr 2.11
N: 0.0000 0.5000 0.0000  2 Zr 2.11
Mg: 0.5000 0.5000 0.5000  8 N 2.95, 4 O 2.98
O: 0.0000 0.0000 0.5000  2 Zr 2.07

---

[9]
Computed, not measured: a relaxed structure of NdMg2GaRh2 at the PBE level of DFT.

## Properties
Calculated volume = 130.1 Å³/cell
Formation energy from the elements = -30.1 kJ/mol of atoms
Energy = -27.558 eV/cell
Space-group type = P4/mmm

Lattice parameters (Å, degrees): 4.6528 4.6528 6.0118 90.00 90.00 90.00
With the nearest neighbours (Å) after each atom.
Element x y z (fractional)
Mg: 0.5000 0.5000 0.7544  4 Rh 2.76, 2 Mg 2.95-3.06
Mg: 0.5000 0.5000 0.2456  4 Rh 2.76, 2 Mg 2.95-3.06
Nd: 0.0000 0.0000 0.5000  2 Ga 3.01
Ga: 0.0000 0.0000 0.0000  4 Rh 2.33
Rh: 0.0000 0.5000 0.0000  2 Ga 2.33
Rh: 0.5000 0.0000 0.0000  2 Ga 2.33

---

[10]
Computed, not measured: a relaxed structure of PuThRh2 at the PBE level of DFT.

## Properties
Calculated volume = 364.4 Å³/cell
Formation energy from the elements = -60.6 kJ/mol of atoms
Energy = -155.871 eV/cell
Space-group type = P2/c

Lattice parameters (Å, degrees): 5.5891 5.7363 11.5473 79.83 90.00 90.00
With the nearest neighbours (Å) after each atom.
Element x y z (fractional)
Rh: 0.2498 0.9323 0.1437  3 Th 2.82-2.91, 3 Pu 2.85-2.99, 1 Rh 2.93
Rh: 0.2498 0.5677 0.3563  3 Th 2.82-2.91, 3 Pu 2.85-2.99, 1 Rh 2.93
Rh: 0.7494 0.0530 0.3539  3 Pu 2.82-2.96, 3 Th 2.86-2.93, 1 Rh 2.99
Rh: 0.2506 0.5530 0.8539  3 Pu 2.82-2.96, 3 Th 2.86-2.93, 1 Rh 2.99
Rh: 0.7502 0.4323 0.6437  3 Th 2.82-2.91, 3 Pu 2.85-2.99, 1 Rh 2.93
Rh: 0.2506 0.9470 0.6461  3 Pu 2.82-2.96, 3 Th 2.86-2.93, 1 Rh 2.99
Rh: 0.7502 0.0677 0.8563  3 Th 2.82-2.91, 3 Pu 2.85-2.99, 1 Rh 2.93
Rh: 0.7494 0.4470 0.1461  3 Pu 2.82-2.96, 3 Th 2.86-2.93, 1 Rh 2.99
Pu: 0.2495 0.4492 0.1140  6 Rh 2.82-2.99
Pu: 0.7505 0.9492 0.6140  6 Rh 2.82-2.99
Pu: 0.7505 0.5508 0.8860  6 Rh 2.82-2.99
Pu: 0.2495 0.0508 0.3860  6 Rh 2.82-2.99
Th: 0.2501 0.4643 0.6119  6 Rh 2.82-2.93
Th: 0.7499 0.9643 0.1119  6 Rh 2.82-2.93
Th: 0.2501 0.0357 0.8881  6 Rh 2.82-2.93
Th: 0.7499 0.5357 0.3881  6 Rh 2.82-2.93

---

[11]
Computed, not measured: a relaxed structure of Hf3Ga2CoRh3 at the PBE level of DFT.

## Properties
Calculated volume = 145.2 Å³/cell
Formation energy from the elements = -60.7 kJ/mol of atoms
Energy = -70.741 eV/cell
Space-group type = P-62m

Lattice parameters (Å, degrees): 2.9732 7.5090 7.5090 120.00 90.00 90.00
With the nearest neighbours (Å) after each atom.
Element x y z (fractional)
Rh: 0.0000 0.6079 0.6079  4 Ga 2.75, 1 Co 2.94, 2 Rh 2.97, 6 Hf 2.98-3.00
Rh: 0.0000 0.3921 0.0000  4 Ga 2.75, 1 Co 2.94, 2 Rh 2.97, 6 Hf 2.98-3.00
Rh: 0.0000 0.0000 0.3921  4 Ga 2.75, 1 Co 2.94, 2 Rh 2.97, 6 Hf 2.98-3.00
Hf: 0.5000 0.7356 0.0000  2 Co 2.48
Hf: 0.5000 0.0000 0.7356  2 Co 2.48
Hf: 0.5000 0.2644 0.2644  2 Co 2.48
Ga: 0.5000 0.6667 0.3333  6 Rh 2.75, 3 Hf 2.80, 2 Ga 2.97
Ga: 0.5000 0.3333 0.6667  6 Rh 2.75, 3 Hf 2.80, 2 Ga 2.97
Co: 0.0000 0.0000 0.0000  6 Hf 2.48

---

[12]
Computed, not measured: a relaxed structure of ZrPtS at the PBE level of DFT.

## Properties
Relative energy among the computed polymorphs = 102 meV per atom
ΔE_f (raw) = -1111.4 meV/atom
Calculated volume = 219.1 Å³/cell
Energy = -88.202 eV/cell
Space-group type = I4/mmm

Lattice parameters (Å, degrees): 3.7279 3.7279 15.7628 90.00 90.00 90.00
With the nearest neighbours (Å) after each atom.
Element x y z (fractional)
Zr: 0.0000 0.0000 0.6394  5 S 2.73-2.74, 4 Pt 2.88
Zr: 0.5000 0.5000 0.8606  5 S 2.73-2.74, 4 Pt 2.88
Zr: 0.0000 0.0000 0.3606  5 S 2.73-2.74, 4 Pt 2.88
Zr: 0.5000 0.5000 0.1394  5 S 2.73-2.74, 4 Pt 2.88
S: 0.0000 0.0000 0.1874  5 Zr 2.73-2.74
S: 0.0000 0.0000 0.8126  5 Zr 2.73-2.74
S: 0.5000 0.5000 0.3126  5 Zr 2.73-2.74
S: 0.5000 0.5000 0.6874  5 Zr 2.73-2.74
Pt: 0.5000 0.0000 0.5000  4 Pt 2.64, 4 Zr 2.88
Pt: 0.0000 0.5000 0.0000  4 Pt 2.64, 4 Zr 2.88
Pt: 0.0000 0.5000 0.5000  4 Pt 2.64, 4 Zr 2.88
Pt: 0.5000 0.0000 0.0000  4 Pt 2.64, 4 Zr 2.88

---

How do the records compare in density? In the order shown, they have 5.820; 6.782; 8.204; 4.379; 7.019; 6.884; 12.506; 3.607; 5.976; 12.429; 11.924; 9.653 g cm⁻³.